Record 1
Compound: Sm2PaNi4Ge3
Source: Alexandria
Functional: PBE
Structure: optimized geometry

Properties
**Space-group type**: P-4m2, No. 115
**DFT formation energy**: -57.09 kJ/mol of atoms

POSCAR file:
```
Sm2PaNi4Ge3
1.0
4.213 0.000 0.000
0.000 4.213 0.000
0.000 0.000 10.227
Sm Pa Ni Ge
2 1 4 3
direct
0.000 0.500 0.217 Sm
0.500 0.000 0.783 Sm
0.000 0.000 0.500 Pa
0.000 0.000 0.000 Ni
0.000 0.500 0.649 Ni
0.500 0.000 0.351 Ni
0.500 0.500 0.000 Ni
0.000 0.500 0.880 Ge
0.500 0.000 0.120 Ge
0.500 0.500 0.500 Ge
```


Record 2
Compound: Pa2Ni4SnGe3
Source: Alexandria
Functional: PBE
Structure: optimized geometry

Properties
**Space-group type**: P-4m2, No. 115
**DFT formation energy**: -51.14 kJ/mol of atoms

POSCAR file:
```
Pa2Ni4SnGe3
1.0
4.129 0.000 0.000
0.000 4.129 0.000
0.000 0.000 9.881
Pa Ni Sn Ge
2 4 1 3
direct
0.000 0.500 0.229 Pa
0.500 0.000 0.771 Pa
0.000 0.000 0.000 Ni
0.000 0.500 0.645 Ni
0.500 0.000 0.355 Ni
0.500 0.500 0.000 Ni
0.000 0.000 0.500 Sn
0.000 0.500 0.877 Ge
0.500 0.000 0.123 Ge
0.500 0.500 0.500 Ge
```


Record 3
Compound: PaTaNi2Ge2
Source: Alexandria
Functional: PBE
Structure: optimized geometry

Properties
**Space-group type**: P-3m1, No. 164
**DFT formation energy**: -48.98 kJ/mol of atoms

POSCAR file:
```
PaTaNi2Ge2
1.0
4.154 0.000 0.000
-2.077 3.597 0.000
0.000 0.000 6.625
Pa Ta Ni Ge
1 1 2 2
direct
0.000 0.000 0.000 Pa
0.000 0.000 0.500 Ta
0.333 0.667 0.674 Ni
0.667 0.333 0.326 Ni
0.333 0.667 0.269 Ge
0.667 0.333 0.731 Ge
```